CdTc3Se: relaxed, GGA-PBE.

Summary:
**Density of states at the Fermi level**: 3.469 states/eV per cell
**E**: -6.157 eV/atom
**Offset from the most stable computed form**: 0 meV/atom
**Energy relative to the elements, uncorrected**: 943 meV per atom
**Space group**: No. 221

Lattice parameters (Å, degrees): 4.5757 4.5757 4.5757 90.00 90.00 90.00
Closest atoms and distances in Å follow each position.
Element x y z (fractional)
Tc 0.0000 0.0000 0.5000  2 Se 2.29
Tc 0.0000 0.5000 0.0000  2 Se 2.29
Tc 0.5000 0.0000 0.0000  2 Se 2.29
Se 0.0000 0.0000 0.0000  6 Tc 2.29
Cd 0.5000 0.5000 0.5000  12 Tc 3.24